Record 1
Material: YUSe2
Method: DFT, PBE
State: relaxed

Cell lengths 7.712, 7.712, 7.712 Å; angles 29.26, 29.26, 29.26 degrees
Sites, in units of the cell vectors:
1 Y 0.000 0.000 0.000
2 U 0.826 0.826 0.826
3 Se 0.410 0.410 0.410
4 Se 0.582 0.582 0.582

Output
ρ	8.30	g/cm³
magnetization	3.28	μB/cell
E_form (uncorrected)	-1.330	eV per atom

Record 2
Material: UZnSe
Method: DFT, PBE
State: relaxed

Cell lengths 3.482, 3.482, 11.354 Å; angles 90.00, 90.00, 90.00 degrees
Sites, in units of the cell vectors:
1 U 0.250 0.250 0.241
2 U 0.750 0.750 0.759
3 Zn 0.250 0.250 0.949
4 Zn 0.750 0.750 0.051
5 Se 0.250 0.250 0.630
6 Se 0.750 0.750 0.370

Output
ρ	9.23	g/cm³
magnetization	5.38	μB/cell
E_form (uncorrected)	-0.390	eV per atom

Record 3
Material: ZrUSe4
Method: DFT, PBE
State: relaxed

Cell lengths 7.229, 7.229, 6.850 Å; angles 98.31, 98.31, 31.81 degrees
Sites, in units of the cell vectors:
1 Zr 0.000 0.000 0.000
2 U 0.500 0.500 0.500
3 Se 0.115 0.115 0.357
4 Se 0.387 0.387 0.124
5 Se 0.613 0.613 0.876
6 Se 0.885 0.885 0.643

Output
ρ	5.74	g/cm³
magnetization	2.01	μB/cell
E_form (uncorrected)	-1.221	eV per atom

Record 4
Material: ZrU2Se5
Method: DFT, PBE
State: relaxed

Cell lengths 7.014, 7.014, 13.084 Å; angles 90.00, 90.00, 132.82 degrees
Sites, in units of the cell vectors:
1 Zr 0.216 0.784 0.750
2 Zr 0.784 0.216 0.250
3 U 0.156 0.844 0.061
4 U 0.156 0.844 0.439
5 U 0.844 0.156 0.561
6 U 0.844 0.156 0.939
7 Se 0.050 0.950 0.625
8 Se 0.050 0.950 0.875
9 Se 0.272 0.728 0.250
10 Se 0.339 0.661 0.575
11 Se 0.339 0.661 0.925
12 Se 0.661 0.339 0.075
13 Se 0.661 0.339 0.425
14 Se 0.728 0.272 0.750
15 Se 0.950 0.050 0.125
16 Se 0.950 0.050 0.375

Output
ρ	6.77	g/cm³
magnetization	11.46	μB/cell
E_form (uncorrected)	-1.116	eV per atom

Record 5
Material: Zr2USe6
Method: DFT, PBE
State: relaxed

Cell lengths 6.759, 6.759, 6.728 Å; angles 90.00, 90.00, 120.00 degrees
Sites, in units of the cell vectors:
1 Zr 0.333 0.667 0.000
2 Zr 0.667 0.333 0.000
3 U 0.000 0.000 0.000
4 Se 0.000 0.341 0.766
5 Se 0.000 0.659 0.234
6 Se 0.341 0.000 0.766
7 Se 0.341 0.341 0.234
8 Se 0.659 0.000 0.234
9 Se 0.659 0.659 0.766

Output
ρ	5.58	g/cm³
magnetization	2.02	μB/cell
E_form (uncorrected)	-1.258	eV per atom

Record 6
Material: ZrUSe3
Method: DFT, PBE
State: relaxed

Cell lengths 7.497, 3.948, 15.296 Å; angles 90.00, 90.00, 90.00 degrees
Sites, in units of the cell vectors:
1 Zr 0.244 0.250 0.047
2 Zr 0.256 0.750 0.547
3 Zr 0.744 0.250 0.453
4 Zr 0.756 0.750 0.953
5 U 0.113 0.750 0.299
6 U 0.387 0.250 0.799
7 U 0.613 0.750 0.201
8 U 0.887 0.250 0.701
9 Se 0.004 0.750 0.102
10 Se 0.119 0.250 0.438
11 Se 0.163 0.750 0.722
12 Se 0.337 0.250 0.222
13 Se 0.381 0.750 0.938
14 Se 0.496 0.250 0.602
15 Se 0.504 0.750 0.398
16 Se 0.619 0.250 0.062
17 Se 0.663 0.750 0.778
18 Se 0.837 0.250 0.278
19 Se 0.881 0.750 0.562
20 Se 0.996 0.250 0.898

Output
ρ	8.31	g/cm³
magnetization	9.69	μB/cell
E_form (uncorrected)	-1.203	eV per atom

Record 7
Material: Zr2USe5
Method: DFT, PBE
State: relaxed

Cell lengths 7.554, 7.554, 7.123 Å; angles 97.24, 97.24, 139.61 degrees
Sites, in units of the cell vectors:
1 Zr 0.187 0.813 0.000
2 Zr 0.813 0.187 0.000
3 U 0.500 0.500 0.000
4 Se 0.000 0.000 0.000
5 Se 0.211 0.537 0.749
6 Se 0.463 0.789 0.251
7 Se 0.537 0.211 0.749
8 Se 0.789 0.463 0.251

Output
ρ	5.52	g/cm³
magnetization	1.32	μB/cell
E_form (uncorrected)	-1.005	eV per atom

Record 8
Material: Zr2USe6
Method: DFT, PBE
State: relaxed

Cell lengths 7.339, 7.339, 9.241 Å; angles 124.42, 124.42, 39.85 degrees
Sites, in units of the cell vectors:
1 Zr 0.177 0.177 0.113
2 Zr 0.823 0.823 0.887
3 U 0.000 0.000 0.500
4 Se 0.038 0.038 0.217
5 Se 0.249 0.249 0.876
6 Se 0.369 0.369 0.455
7 Se 0.631 0.631 0.545
8 Se 0.751 0.751 0.124
9 Se 0.962 0.962 0.783

Output
ρ	5.83	g/cm³
magnetization	2.00	μB/cell
E_form (uncorrected)	-1.110	eV per atom

Record 9
Material: ZrUSe2
Method: DFT, PBE
State: relaxed

Cell lengths 7.883, 7.883, 7.883 Å; angles 26.80, 26.80, 26.80 degrees
Sites, in units of the cell vectors:
1 Zr 0.000 0.000 0.000
2 U 0.169 0.169 0.169
3 Se 0.591 0.591 0.591
4 Se 0.746 0.746 0.746

Output
ρ	9.21	g/cm³
magnetization	2.88	μB/cell
E_form (uncorrected)	-1.060	eV per atom

Record 10
Material: ZrUSe4
Method: DFT, PBE
State: relaxed

Cell lengths 7.894, 6.305, 7.819 Å; angles 90.00, 118.78, 90.00 degrees
Sites, in units of the cell vectors:
1 Zr 0.000 0.000 0.000
2 Zr 0.000 0.500 0.500
3 U 0.500 0.000 0.500
4 U 0.500 0.500 0.000
5 Se 0.159 0.241 0.323
6 Se 0.159 0.259 0.823
7 Se 0.316 0.740 0.658
8 Se 0.316 0.760 0.158
9 Se 0.684 0.240 0.842
10 Se 0.684 0.260 0.342
11 Se 0.841 0.741 0.177
12 Se 0.841 0.759 0.677

Output
ρ	6.28	g/cm³
magnetization	4.00	μB/cell
E_form (uncorrected)	-1.099	eV per atom

Record 11
Material: ZrUSe3
Method: DFT, PBE
State: relaxed

Cell lengths 10.364, 10.364, 6.851 Å; angles 90.00, 90.00, 158.02 degrees
Sites, in units of the cell vectors:
1 Zr 0.167 0.833 0.500
2 Zr 0.833 0.167 0.000
3 U 0.337 0.663 0.498
4 U 0.663 0.337 0.998
5 Se 0.087 0.913 0.182
6 Se 0.251 0.749 0.830
7 Se 0.409 0.591 0.149
8 Se 0.591 0.409 0.649
9 Se 0.749 0.251 0.330
10 Se 0.913 0.087 0.682

Output
ρ	6.83	g/cm³
magnetization	4.69	μB/cell
E_form (uncorrected)	-1.153	eV per atom

Record 12
Material: Zr3USe8
Method: DFT, PBE
State: relaxed

Cell lengths 7.766, 7.766, 8.283 Å; angles 118.49, 118.49, 60.02 degrees
Sites, in units of the cell vectors:
1 Zr 0.000 0.000 0.000
2 Zr 0.000 0.500 0.000
3 Zr 0.500 0.000 0.000
4 U 0.500 0.500 0.000
5 Se 0.235 0.749 0.229
6 Se 0.243 0.243 0.226
7 Se 0.251 0.251 0.771
8 Se 0.251 0.765 0.771
9 Se 0.749 0.235 0.229
10 Se 0.749 0.749 0.229
11 Se 0.757 0.757 0.774
12 Se 0.765 0.251 0.771

Output
ρ	5.26	g/cm³
magnetization	2.02	μB/cell
E_form (uncorrected)	-1.274	eV per atom